No. 1
A relaxed AlAu2 crystal, computed with PBEsol.

abc: 4.3929 5.5232 8.0261
angles: 90.00 90.00 90.00
Atoms (fractional coordinates):
Au  0.7500  0.8199  0.4300
Au  0.2500  0.0163  0.2094
Au  0.2500  0.5163  0.2906
Au  0.7500  0.9837  0.7906
Au  0.2500  0.6801  0.9300
Au  0.2500  0.1801  0.5700
Au  0.7500  0.3199  0.0700
Au  0.7500  0.4837  0.7094
Al  0.7500  0.7962  0.1008
Al  0.7500  0.2962  0.3992
Al  0.2500  0.2038  0.8992
Al  0.2500  0.7038  0.6008

Computed properties:
- DOS(E_F): 2.6 states/eV per cell
- Density: 14.36 g cm⁻³
- ΔE_f: -0.318 eV/atom

No. 2
A relaxed AlAu2 crystal, computed with PBEsol.

abc: 8.2477 8.2477 8.2477
angles: 60.00 60.00 60.00
Atoms (fractional coordinates):
Au  0.9298  0.9298  0.5702
Au  0.6250  0.1250  0.1250
Au  0.1250  0.6250  0.1250
Au  0.5702  0.5702  0.9298
Au  0.5702  0.9298  0.9298
Au  0.1250  0.1250  0.1250
Au  0.5702  0.9298  0.5702
Au  0.1250  0.1250  0.6250
Au  0.9298  0.5702  0.9298
Au  0.9298  0.5702  0.5702
Au  0.6798  0.3202  0.6798
Au  0.6798  0.6798  0.3202
Au  0.3202  0.6798  0.3202
Au  0.3202  0.6798  0.6798
Au  0.3202  0.3202  0.6798
Au  0.6798  0.3202  0.3202
Al  0.3395  0.3395  0.9814
Al  0.9105  0.9105  0.9105
Al  0.3395  0.9814  0.3395
Al  0.9105  0.9105  0.2686
Al  0.9814  0.3395  0.3395
Al  0.9105  0.2686  0.9105
Al  0.3395  0.3395  0.3395
Al  0.2686  0.9105  0.9105

Computed properties:
- DOS(E_F): 6.8 states/eV per cell
- Density: 14.09 g cm⁻³
- ΔE_f: -0.230 eV/atom

- Look up the density of the second one.
  14.09 g cm⁻³

What did the second record say?
A relaxed AlAu2 crystal, computed with PBEsol.

abc: 8.2477 8.2477 8.2477
angles: 60.00 60.00 60.00
Atoms (fractional coordinates):
Au  0.9298  0.9298  0.5702
Au  0.6250  0.1250  0.1250
Au  0.1250  0.6250  0.1250
Au  0.5702  0.5702  0.9298
Au  0.5702  0.9298  0.9298
Au  0.1250  0.1250  0.1250
Au  0.5702  0.9298  0.5702
Au  0.1250  0.1250  0.6250
Au  0.9298  0.5702  0.9298
Au  0.9298  0.5702  0.5702
Au  0.6798  0.3202  0.6798
Au  0.6798  0.6798  0.3202
Au  0.3202  0.6798  0.3202
Au  0.3202  0.6798  0.6798
Au  0.3202  0.3202  0.6798
Au  0.6798  0.3202  0.3202
Al  0.3395  0.3395  0.9814
Al  0.9105  0.9105  0.9105
Al  0.3395  0.9814  0.3395
Al  0.9105  0.9105  0.2686
Al  0.9814  0.3395  0.3395
Al  0.9105  0.2686  0.9105
Al  0.3395  0.3395  0.3395
Al  0.2686  0.9105  0.9105

Computed properties:
- DOS(E_F): 6.8 states/eV per cell
- Density: 14.09 g cm⁻³
- ΔE_f: -0.230 eV/atom

- Number 1 is which compound?
  AlAu2